# 1
Computed, not measured: Rb2P4Pd5 after structural relaxation at the PBE level of DFT.

Its energy of formation is -421.5 meV per atom. Its crystal system is monoclinic.

The space group is C2/m (No. 12) and the conventional cell measures 10.552, 6.912 and 7.721 Å, with angles of 90.00, 122.87 and 90.00 degrees. Symmetry generates all atoms from Rb at (0.086, 0.000, 0.371), P at (0.045, 0.500, 0.218), P at (0.214, 0.500, 0.844), Pd at (0.000, 0.500, 0.500) and Pd at (0.159, 0.299, 0.068).

=====

# 2
Computed, not measured: HgSb2Pt after structural relaxation at the PBE level of DFT.

For the formation energy without anion corrections, the calculation gives -88 meV/atom. Its crystal system is tetragonal.

The space group is P4/mmm (No. 123) and the conventional cell measures 3.225, 3.225 and 9.846 Å, with angles of 90.00, 90.00 and 90.00 degrees. Symmetry generates all atoms from Hg at (0.000, 0.000, 0.000), Sb at (0.500, 0.500, 0.318) and Pt at (0.000, 0.000, 0.500).

=====

# 3
Computed, not measured: MgAlAg4 after structural relaxation at the PBE level of DFT.

Its energy of formation is 33.6 meV per atom. For the relative energy among the computed polymorphs, the calculation gives 0.141 eV per atom. Its crystal system is orthorhombic.

The space group is Cmc2_1 (No. 36) and the conventional cell measures 4.791, 18.150 and 5.616 Å, with angles of 90.00, 90.00 and 90.00 degrees. Symmetry generates all atoms from Mg at (0.000, 0.148, 0.000), Al at (0.000, 0.421, 0.998), Ag at (0.000, 0.148, 0.500), Ag at (0.000, 0.295, 0.251), Ag at (0.000, 0.295, 0.747) and Ag at (0.000, 0.439, 0.499).

=====

# 4
Computed, not measured: MgPt5 after structural relaxation at the PBE level of DFT.

Its energy of formation is -301.2 meV per atom. Its crystal system is tetragonal.

The space group is P4/mmm (No. 123) and the conventional cell measures 2.805, 2.805 and 11.955 Å, with angles of 90.00, 90.00 and 90.00 degrees. Symmetry generates all atoms from Mg at (0.000, 0.000, 0.000), Pt at (0.000, 0.000, 0.334), Pt at (0.500, 0.500, 0.162) and Pt at (0.500, 0.500, 0.500).

=====

# 5
Computed, not measured: Ta2VIrN after structural relaxation at the PBE level of DFT.

For the formation energy without anion corrections, the calculation gives -704 meV/atom. Its crystal system is tetragonal.

The space group is P4/mmm (No. 123) and the conventional cell measures 4.235, 4.235 and 3.896 Å, with angles of 90.00, 90.00 and 90.00 degrees. Symmetry generates all atoms from Ta at (0.000, 0.500, 0.000), V at (0.000, 0.000, 0.500), Ir at (0.500, 0.500, 0.500) and N at (0.000, 0.000, 0.000).

=====

# 6
Computed, not measured: ZrCdTc2 after structural relaxation at the PBE level of DFT.

Its energy of formation is 407.0 meV per atom. Its crystal system is trigonal.

The space group is R-3m (No. 166, hexagonal axes) and the conventional cell measures 2.9140, 2.9140 and 28.9657 Å, with angles of 90.00, 90.00 and 120.00 degrees. Symmetry generates all atoms from Zr at (0.0000, 0.0000, 0.0000), Cd at (0.0000, 0.0000, 0.5000) and Tc at (0.0000, 0.0000, 0.2502).

=====

# 7
Computed, not measured: Cs2ZnAuCl6 after structural relaxation at the PBE level of DFT.

For the formation energy without anion corrections, the calculation gives -1182 meV/atom. Its crystal system is tetragonal.

The space group is I4/mmm (No. 139) and the conventional cell measures 7.450, 7.450 and 10.670 Å, with angles of 90.00, 90.00 and 90.00 degrees. Symmetry generates all atoms from Cs at (0.000, 0.500, 0.250), Zn at (0.000, 0.000, 0.000), Au at (0.000, 0.000, 0.500), Cl at (0.000, 0.000, 0.280) and Cl at (0.225, 0.225, 0.000).

=====

# 8
Computed, not measured: ReHg3Ir after structural relaxation at the PBE level of DFT.

Its energy of formation is 1581.3 meV per atom. For the relative energy among the computed polymorphs, the calculation gives 0.000 eV per atom. Its crystal system is cubic.

The space group is Pm-3m (No. 221) and the conventional cell measures 5.221, 5.221 and 5.221 Å, with angles of 90.00, 90.00 and 90.00 degrees. Symmetry generates all atoms from Re at (0.000, 0.000, 0.000), Hg at (0.000, 0.500, 0.500) and Ir at (0.500, 0.500, 0.500).

=====

# 9
Computed, not measured: LiScSCl2 after structural relaxation at the PBE level of DFT.

For the formation energy without anion corrections, the calculation gives -1558 meV/atom. For the relative energy among the computed polymorphs, the calculation gives 0.000 eV per atom. Its crystal system is tetragonal.

The space group is P4/mmm (No. 123) and the conventional cell measures 5.041, 5.041 and 4.931 Å, with angles of 90.00, 90.00 and 90.00 degrees. Symmetry generates all atoms from Li at (0.000, 0.000, 0.000), Sc at (0.500, 0.500, 0.500), S at (0.500, 0.500, 0.000) and Cl at (0.000, 0.500, 0.500).

=====

# 10
Computed, not measured: TaTiNbAl after structural relaxation at the PBE level of DFT.

Its energy of formation is -152.6 meV per atom. For the relative energy among the computed polymorphs, the calculation gives 0.000 eV per atom. Its crystal system is cubic.

The space group is F-43m (No. 216) and the conventional cell measures 6.513, 6.513 and 6.513 Å, with angles of 90.00, 90.00 and 90.00 degrees. Symmetry generates all atoms from Ta at (0.000, 0.000, 0.000), Ti at (0.000, 0.000, 0.500), Nb at (0.250, 0.250, 0.750) and Al at (0.250, 0.250, 0.250).

=====

# 11
Computed, not measured: TcNiIr2 after structural relaxation at the PBE level of DFT.

Its energy of formation is 962.5 meV per atom. For the relative energy among the computed polymorphs, the calculation gives 1.084 eV per atom. Its crystal system is tetragonal.

The space group is I-42d (No. 122) and the conventional cell measures 5.769, 5.769 and 9.450 Å, with angles of 90.00, 90.00 and 90.00 degrees. Symmetry generates all atoms from Tc at (0.000, 0.000, 0.000), Ni at (0.000, 0.000, 0.500) and Ir at (0.245, 0.250, 0.625).

=====

# 12
Computed, not measured: K2ReNi after structural relaxation at the PBE level of DFT.

Its energy of formation is 1415.1 meV per atom. For the relative energy among the computed polymorphs, the calculation gives 0.651 eV per atom. Its crystal system is orthorhombic.

The space group is Pmmm (No. 47) and the conventional cell measures 2.706, 5.445 and 5.608 Å, with angles of 90.00, 90.00 and 90.00 degrees. Symmetry generates all atoms from K at (0.000, 0.248, 0.000), Re at (0.500, 0.500, 0.500) and Ni at (0.500, 0.000, 0.500).